# 1
{
  "formula": "TlSb2As",
  "functional": "PBE",
  "state": "relaxed",
  "lattice": [[-7.258, 0.970, 1.704], [-5.166, 0.707, 5.416], [-5.188, 4.376, 3.233]],
  "species": ["As", "Sb", "Sb", "Tl"],
  "fractional_positions": [[0.747, 0.747, 0.747], [0.255, 0.255, 0.255], [0.005, 0.005, 0.005], [0.493, 0.493, 0.493]],
  "sg": "No. 160",
  "e_form_raw_ev_per_atom": 0.1156,
  "final_energy_ev_per_atom": -3.700,
  "de_polymorph_mev_per_atom": 3
}

---

# 2
{
  "formula": "Tl3SbAs",
  "functional": "PBE",
  "state": "relaxed",
  "lattice": [[-0.204, 5.159, 1.903], [-5.294, 0.331, -1.463], [-1.486, -1.885, 4.951]],
  "species": ["Tl", "Tl", "Tl", "As", "Sb"],
  "fractional_positions": [[0.000, 0.000, 0.500], [0.500, 0.000, 0.000], [0.000, 0.500, 0.000], [0.000, 0.000, 0.000], [0.500, 0.500, 0.500]],
  "sg": "No. 221",
  "e_form_raw_ev_per_atom": 0.3323,
  "final_energy_ev_per_atom": -2.842,
  "de_polymorph_mev_per_atom": 322
}

---

# 3
{
  "formula": "Tl3Sb2As",
  "functional": "PBE",
  "state": "relaxed",
  "lattice": [[6.947, 1.772, 1.422], [1.443, 7.023, 1.422], [-0.233, -0.244, 8.173]],
  "species": ["Tl", "Tl", "Tl", "Tl", "Tl", "Tl", "Sb", "Sb", "Sb", "Sb", "As", "As"],
  "fractional_positions": [[0.923, 0.736, 0.069], [0.386, 0.614, 0.250], [0.614, 0.386, 0.750], [0.077, 0.264, 0.931], [0.736, 0.923, 0.569], [0.264, 0.077, 0.431], [0.181, 0.536, 0.603], [0.819, 0.464, 0.397], [0.464, 0.819, 0.897], [0.536, 0.181, 0.103], [0.141, 0.859, 0.750], [0.859, 0.141, 0.250]],
  "sg": "No. 15",
  "e_form_raw_ev_per_atom": 0.0939,
  "final_energy_ev_per_atom": -3.238
}

---

# 4
{
  "formula": "TlSb2As",
  "functional": "PBE",
  "state": "relaxed",
  "lattice": [[-3.743, -1.633, -3.334], [-3.468, -3.667, 1.521], [-5.035, 1.320, 0.838]],
  "species": ["Tl", "Sb", "Sb", "As"],
  "fractional_positions": [[0.750, 0.750, 0.750], [0.250, 0.250, 0.250], [0.000, 0.000, 0.000], [0.500, 0.500, 0.500]],
  "sg": "No. 216",
  "e_form_raw_ev_per_atom": 0.2904,
  "final_energy_ev_per_atom": -3.525,
  "de_polymorph_mev_per_atom": 177
}

---

# 5
{
  "formula": "TlSbAs2",
  "functional": "PBE",
  "state": "relaxed",
  "lattice": [[-0.508, 1.409, -3.736], [-3.593, -0.294, -1.791], [-3.279, 6.983, 0.911]],
  "species": ["Sb", "As", "As", "Tl"],
  "fractional_positions": [[0.668, 0.668, 0.996], [0.074, 0.074, 0.778], [0.258, 0.258, 0.225], [0.499, 0.499, 0.502]],
  "sg": "No. 160",
  "e_form_raw_ev_per_atom": 0.1139,
  "final_energy_ev_per_atom": -3.833,
  "de_polymorph_mev_per_atom": 9
}

---

# 6
{
  "formula": "Tl5Sb2As",
  "functional": "PBE",
  "state": "relaxed",
  "lattice": [[4.544, 0.000, 0.000], [-2.272, 5.900, 0.000], [0.000, 0.000, 18.068]],
  "species": ["Tl", "Tl", "Tl", "Tl", "Tl", "Tl", "Tl", "Tl", "Tl", "Tl", "Sb", "Sb", "Sb", "Sb", "As", "As"],
  "fractional_positions": [[0.645, 0.290, 0.532], [0.355, 0.710, 0.468], [0.050, 0.100, 0.104], [0.524, 0.048, 0.750], [0.050, 0.100, 0.396], [0.950, 0.900, 0.896], [0.476, 0.952, 0.250], [0.355, 0.710, 0.032], [0.950, 0.900, 0.604], [0.645, 0.290, 0.968], [0.754, 0.509, 0.150], [0.246, 0.491, 0.650], [0.246, 0.491, 0.850], [0.754, 0.509, 0.350], [0.209, 0.417, 0.250], [0.791, 0.583, 0.750]],
  "sg": "No. 63",
  "e_form_raw_ev_per_atom": 0.0424,
  "final_energy_ev_per_atom": -3.048
}